Entry 1:
VASP calculation (GGA-PBE) on KCa after structural relaxation.

Lattice parameters (Å, degrees): 16.3949 4.0953 9.9059 90.00 103.85 90.00
Fractional positions:
K (0.0000, 0.0000, 0.0000)
K (0.0544, 0.0000, 0.6238)
K (0.3899, 0.0000, 0.2926)
K (0.5000, 0.5000, 0.0000)
K (0.5544, 0.5000, 0.6238)
K (0.8899, 0.5000, 0.2926)
Ca (0.1769, 0.5000, 0.3421)
Ca (0.2289, 0.5000, 0.9550)
Ca (0.3086, 0.0000, 0.6684)
Ca (0.6769, 0.0000, 0.3421)
Ca (0.7289, 0.0000, 0.9550)
Ca (0.8086, 0.5000, 0.6684)

Properties
Formation energy from the elements: 165 meV/atom

Entry 2:
VASP calculation (GGA-PBE) on KTe4 after structural relaxation.

Lattice parameters (Å, degrees): 4.4094 4.4094 20.1977 90.00 90.00 90.00
Fractional positions:
K (0.0000, 0.0000, 0.0000)
K (0.5000, 0.5000, 0.5000)
Te (0.0000, 0.0000, 0.4323)
Te (0.0000, 0.0000, 0.5677)
Te (0.0000, 0.5000, 0.2500)
Te (0.0000, 0.5000, 0.7500)
Te (0.5000, 0.0000, 0.2500)
Te (0.5000, 0.0000, 0.7500)
Te (0.5000, 0.5000, 0.0677)
Te (0.5000, 0.5000, 0.9323)

Properties
Formation energy from raw total energies: -0.1586 eV per atom

Entry 3:
VASP calculation (GGA-PBE) on BeRh3 after structural relaxation.

Lattice parameters (Å, degrees): 2.7209 2.7209 24.1128 90.00 90.00 120.00
Fractional positions:
Be (0.0000, 0.0000, 0.0000)
Be (0.3333, 0.6667, 0.6667)
Be (0.6667, 0.3333, 0.3333)
Rh (0.0000, 0.0000, 0.2591)
Rh (0.0000, 0.0000, 0.5000)
Rh (0.0000, 0.0000, 0.7409)
Rh (0.3333, 0.6667, 0.1667)
Rh (0.3333, 0.6667, 0.4076)
Rh (0.3333, 0.6667, 0.9257)
Rh (0.6667, 0.3333, 0.0743)
Rh (0.6667, 0.3333, 0.5924)
Rh (0.6667, 0.3333, 0.8333)

Properties
Formation energy from the elements: -111 meV/atom

Entry 4:
VASP calculation (GGA-PBE) on Ti2Cr2Ga after structural relaxation.

Lattice parameters (Å, degrees): 3.8224 3.8224 11.0378 90.00 90.00 90.00
Fractional positions:
Ti (0.0000, 0.5000, 0.2500)
Ti (0.0000, 0.5000, 0.7500)
Ti (0.5000, 0.0000, 0.2500)
Ti (0.5000, 0.0000, 0.7500)
Cr (0.0000, 0.0000, 0.0934)
Cr (0.0000, 0.0000, 0.9066)
Cr (0.5000, 0.5000, 0.4066)
Cr (0.5000, 0.5000, 0.5934)
Ga (0.0000, 0.0000, 0.5000)
Ga (0.5000, 0.5000, 0.0000)

Properties
Formation energy from the elements: 563 meV/atom

Entry 5:
VASP calculation (GGA-PBE) on SrLaTa after structural relaxation.

Lattice parameters (Å, degrees): 7.5744 7.5744 7.5744 90.00 90.00 90.00
Fractional positions:
Sr (0.0000, 0.0000, 0.0000)
Sr (0.0000, 0.5000, 0.5000)
Sr (0.5000, 0.0000, 0.5000)
Sr (0.5000, 0.5000, 0.0000)
La (0.0000, 0.0000, 0.5000)
La (0.0000, 0.5000, 0.0000)
La (0.5000, 0.0000, 0.0000)
La (0.5000, 0.5000, 0.5000)
Ta (0.2500, 0.2500, 0.7500)
Ta (0.2500, 0.7500, 0.2500)
Ta (0.7500, 0.2500, 0.2500)
Ta (0.7500, 0.7500, 0.7500)

Properties
Formation energy from the elements: 1223 meV/atom

Entry 6:
VASP calculation (GGA-PBE) on YTmCoRh after structural relaxation.

Lattice parameters (Å, degrees): 6.7404 6.7404 6.7404 90.00 90.00 90.00
Fractional positions:
Y (0.0000, 0.0000, 0.0000)
Y (0.0000, 0.5000, 0.5000)
Y (0.5000, 0.0000, 0.5000)
Y (0.5000, 0.5000, 0.0000)
Tm (0.0000, 0.0000, 0.5000)
Tm (0.0000, 0.5000, 0.0000)
Tm (0.5000, 0.0000, 0.0000)
Tm (0.5000, 0.5000, 0.5000)
Co (0.2500, 0.2500, 0.2500)
Co (0.2500, 0.7500, 0.7500)
Co (0.7500, 0.2500, 0.7500)
Co (0.7500, 0.7500, 0.2500)
Rh (0.2500, 0.2500, 0.7500)
Rh (0.2500, 0.7500, 0.2500)
Rh (0.7500, 0.2500, 0.2500)
Rh (0.7500, 0.7500, 0.7500)

Properties
Formation energy from the elements: -518 meV/atom

Computed values of DOS at the Fermi energy (unit: states/eV per atom) for the preceding records, in sequence: 1.00, 0.77, 1.60, 1.07, 1.62, 0.53.
Computed values of uncorrected energy (unit: eV/cell) for the preceding records, in sequence: -16.62, -28.91, -78.67, -70.50, -59.17, -109.86.